[1]
Dy8Zn2Bi | PBE | relaxed Values from VASP.

```
&SYSTEM
  ibrav = 0, nat = 11, ntyp = 3
/
ATOMIC_SPECIES
Dy 162.50 Dy.upf
Zn 65.41 Zn.upf
Bi 208.98 Bi.upf
ATOMIC_POSITIONS crystal
Dy 0.034 0.034 0.249
Dy 0.201 0.201 0.818
Dy 0.328 0.328 0.542
Dy 0.406 0.406 0.036
Dy 0.594 0.594 0.964
Dy 0.672 0.672 0.458
Dy 0.799 0.799 0.182
Dy 0.966 0.966 0.751
Zn 0.192 0.192 0.213
Zn 0.808 0.808 0.787
Bi 0.500 0.500 0.500
CELL_PARAMETERS angstrom
9.049 -2.489 0.000
9.049 2.489 0.000
-1.972 0.000 6.984
```

## Properties
* E_tot: -4.13 eV/atom
* energy relative to the elements: -19.4 kJ per mole of atoms
* magnetization: 0.0 Bohr magnetons per cell

***

[2]
Dy2ZnBi | PBE | relaxed Values from VASP.

```
&SYSTEM
  ibrav = 0, nat = 4, ntyp = 3
/
ATOMIC_SPECIES
Dy 162.50 Dy.upf
Zn 65.41 Zn.upf
Bi 208.98 Bi.upf
ATOMIC_POSITIONS crystal
Dy 0.098 0.098 0.098
Dy 0.902 0.902 0.902
Zn 0.500 0.500 0.500
Bi 0.000 0.000 0.000
CELL_PARAMETERS angstrom
1.765 1.019 10.785
-1.765 1.019 10.785
0.000 -2.038 10.785
```

## Properties
* energy above the lowest structure with this stoichiometry: 460 meV per atom
* E_tot: -3.66 eV/atom
* energy relative to the elements: -6.7 kJ per mole of atoms
* magnetization: 0.0 Bohr magnetons per cell

***

[3]
DyZnBi2 | PBE | relaxed Values from VASP.

```
&SYSTEM
  ibrav = 0, nat = 4, ntyp = 3
/
ATOMIC_SPECIES
Dy 162.50 Dy.upf
Zn 65.41 Zn.upf
Bi 208.98 Bi.upf
ATOMIC_POSITIONS crystal
Dy 0.000 0.000 0.000
Zn 0.500 0.500 0.500
Bi 0.241 0.241 0.241
Bi 0.759 0.759 0.759
CELL_PARAMETERS angstrom
2.169 1.252 7.186
-2.169 1.252 7.186
0.000 -2.504 7.186
```

## Properties
* energy above the lowest structure with this stoichiometry: 168 meV per atom
* E_tot: -3.55 eV/atom
* energy relative to the elements: -13.2 kJ per mole of atoms
* magnetization: 0.0 Bohr magnetons per cell

***

[4]
Dy6Zn2Bi | PBE | relaxed Values from VASP.

```
&SYSTEM
  ibrav = 0, nat = 18, ntyp = 3
/
ATOMIC_SPECIES
Dy 162.50 Dy.upf
Zn 65.41 Zn.upf
Bi 208.98 Bi.upf
ATOMIC_POSITIONS crystal
Dy 0.024 0.227 0.797
Dy 0.193 0.292 0.485
Dy 0.193 0.708 0.901
Dy 0.318 0.013 0.696
Dy 0.318 0.622 0.304
Dy 0.430 0.227 0.203
Dy 0.570 0.773 0.797
Dy 0.682 0.378 0.696
Dy 0.682 0.987 0.304
Dy 0.807 0.292 0.099
Dy 0.807 0.708 0.515
Dy 0.976 0.773 0.203
Zn 0.116 0.616 0.500
Zn 0.358 0.000 0.358
Zn 0.642 0.000 0.642
Zn 0.884 0.384 0.500
Bi 0.000 0.000 0.000
Bi 0.500 0.500 0.000
CELL_PARAMETERS angstrom
-4.670 4.831 5.551
4.670 -4.831 5.551
4.670 4.831 -5.551
```

## Properties
* E_tot: -4.07 eV/atom
* energy relative to the elements: -28.2 kJ per mole of atoms
* magnetization: 0.0 Bohr magnetons per cell

***

[5]
Dy5ZnBi4 | PBE | relaxed Values from VASP.

```
&SYSTEM
  ibrav = 0, nat = 10, ntyp = 3
/
ATOMIC_SPECIES
Dy 162.50 Dy.upf
Zn 65.41 Zn.upf
Bi 208.98 Bi.upf
ATOMIC_POSITIONS crystal
Dy 0.000 0.000 0.000
Dy 0.202 0.602 0.806
Dy 0.396 0.202 0.601
Dy 0.602 0.796 0.399
Dy 0.796 0.396 0.194
Zn 0.500 0.500 0.000
Bi 0.096 0.300 0.398
Bi 0.300 0.902 0.204
Bi 0.698 0.096 0.796
Bi 0.902 0.698 0.602
CELL_PARAMETERS angstrom
-4.947 4.947 3.131
4.947 -4.947 3.131
4.947 4.947 -3.131
```

## Properties
* E_tot: -4.62 eV/atom
* energy relative to the elements: -61.3 kJ per mole of atoms
* magnetization: 0.0 Bohr magnetons per cell

***

[6]
Dy2ZnBi | PBE | relaxed Values from VASP.

```
&SYSTEM
  ibrav = 0, nat = 8, ntyp = 3
/
ATOMIC_SPECIES
Dy 162.50 Dy.upf
Zn 65.41 Zn.upf
Bi 208.98 Bi.upf
ATOMIC_POSITIONS crystal
Dy 0.192 0.250 0.425
Dy 0.266 0.750 0.060
Dy 0.734 0.250 0.940
Dy 0.808 0.750 0.575
Zn 0.109 0.250 0.791
Zn 0.891 0.750 0.209
Bi 0.385 0.750 0.711
Bi 0.615 0.250 0.289
CELL_PARAMETERS angstrom
6.113 0.000 0.000
0.000 4.203 0.000
-2.751 0.000 8.306
```

## Properties
* energy above the lowest structure with this stoichiometry: 0 meV per atom
* E_tot: -4.12 eV/atom
* energy relative to the elements: -51.1 kJ per mole of atoms
* magnetization: 0.0 Bohr magnetons per cell

***

> Which value of magnetization does entry 2 give?

0.0 Bohr magnetons per cell

***

> Number 4 is which compound?

Dy6Zn2Bi

***

What did the second record say?
Dy2ZnBi | PBE | relaxed Values from VASP.

```
&SYSTEM
  ibrav = 0, nat = 4, ntyp = 3
/
ATOMIC_SPECIES
Dy 162.50 Dy.upf
Zn 65.41 Zn.upf
Bi 208.98 Bi.upf
ATOMIC_POSITIONS crystal
Dy 0.098 0.098 0.098
Dy 0.902 0.902 0.902
Zn 0.500 0.500 0.500
Bi 0.000 0.000 0.000
CELL_PARAMETERS angstrom
1.765 1.019 10.785
-1.765 1.019 10.785
0.000 -2.038 10.785
```

## Properties
* energy above the lowest structure with this stoichiometry: 460 meV per atom
* E_tot: -3.66 eV/atom
* energy relative to the elements: -6.7 kJ per mole of atoms
* magnetization: 0.0 Bohr magnetons per cell